# TeRhSe2, PBEsol geometry, DFT SCAN
# ΔE_f (raw), eV per formula unit: 0.14
# Total DFT energy (no corrections), eV per cell: -444.158
# Crystal system: tetragonal
# Size of the total moment, μB per cell: 0.0
data_TeRhSe2
_cell_length_a 6.867
_cell_length_b 6.867
_cell_length_c 7.690
_cell_angle_alpha 90.00
_cell_angle_beta 90.00
_cell_angle_gamma 90.00
_symmetry_space_group_name_H-M 'I -4 2 d'
_symmetry_Int_Tables_number 122
_symmetry_space_group_name_Hall 'I -4 2bw'
loop_
_atom_site_label
_atom_site_type_symbol
_atom_site_fract_x
_atom_site_fract_y
_atom_site_fract_z
_atom_site_occupancy
Te1 Te 0.000 0.000 0.000 1
Rh1 Rh 0.000 0.000 0.500 1
Se1 Se 0.193 0.250 0.625 1